First-principles (GGA-PBE) data for an optimized crystal structure of Re2PS, as listed in the Alexandria database.

Values from the calculation:
- raw formation energy (eV/atom) = 0.322
- distance to the lowest polymorph of the same formula (eV per atom) = 0.149
- DOS at the Fermi energy (states/eV/atom) = 1.23
- calculated density (Mg/m³) = 9.9

Lattice parameters (Å, degrees): 6.289 6.289 6.289 129.02 129.02 74.97
Atoms (fractional coordinates):
Re (0.119, 0.625, 0.994)
Re (0.375, 0.369, 0.494)
Re (0.631, 0.125, 0.006)
Re (0.875, 0.881, 0.506)
P (0.250, 0.750, 0.500)
P (0.500, 0.500, 0.000)
S (0.000, 0.000, 0.000)
S (0.750, 0.250, 0.500)